# 1
## LaYZn3 (PBE)

Data for a relaxed LaYZn3 crystal.

Lattice parameters (Å, degrees): 5.3394 5.3394 5.3394 90.00 90.00 90.00
Atoms (fractional coordinates):
Zn 0.0000 0.5000 0.0000
Zn 0.5000 0.0000 0.0000
Zn 0.0000 0.0000 0.5000
La 0.0000 0.0000 0.0000
Y 0.5000 0.5000 0.5000

=====

# 2
## LaYZn2 (PBE)

Data for a relaxed LaYZn2 crystal.

Lattice parameters (Å, degrees): 5.9852 5.9852 5.9852 136.91 136.91 62.57
Atoms (fractional coordinates):
Zn 0.0000 0.0000 0.0000
Zn 0.2500 0.7500 0.5000
La 0.5000 0.5000 0.0000
Y 0.7500 0.2500 0.5000

=====

# 3
## LaY2Zn (PBE)

Data for a relaxed LaY2Zn crystal.

Lattice parameters (Å, degrees): 10.6080 10.6080 10.6080 19.82 19.82 19.82
Atoms (fractional coordinates):
Y 0.9864 0.9864 0.9864
Y 0.5136 0.5136 0.5136
Zn 0.2500 0.2500 0.2500
La 0.7500 0.7500 0.7500

=====

# 4
## LaY2Zn (PBE)

Data for a relaxed LaY2Zn crystal.

Lattice parameters (Å, degrees): 5.4052 5.4052 5.4052 60.00 60.00 60.00
Each line ends with the local moment (μB).
Atoms (fractional coordinates):
Y 0.2500 0.2500 0.2500  0.38
Y 0.7500 0.7500 0.7500  0.38
La 0.5000 0.5000 0.5000  0.56
Zn 0.0000 0.0000 0.0000  -0.01

=====

# 5
## LaYZn2 (PBE)

Data for a relaxed LaYZn2 crystal.

Lattice parameters (Å, degrees): 5.1989 3.6612 5.1999 90.01 90.00 90.00
Atoms (fractional coordinates):
La 0.0000 0.6250 0.3749
Zn 0.5000 0.1251 0.3752
Zn 0.0000 0.1248 0.8750
Y 0.5000 0.6250 0.8749

=====

# 6
## LaYZn3 (PBE)

Data for a relaxed LaYZn3 crystal.

Lattice parameters (Å, degrees): 5.2609 5.2609 5.2609 90.00 90.00 90.00
Atoms (fractional coordinates):
La 0.5000 0.5000 0.5000
Zn 0.0000 0.0000 0.5000
Zn 0.0000 0.5000 0.0000
Zn 0.5000 0.0000 0.0000
Y 0.0000 0.0000 0.0000

=====

# 7
## LaY2Zn (PBE)

Data for a relaxed LaY2Zn crystal.

Lattice parameters (Å, degrees): 8.6432 8.6432 6.9353 51.45 51.45 90.00
Atoms (fractional coordinates):
Y 0.1795 0.6250 0.2500
Y 0.8750 0.8205 0.7500
Y 0.5705 0.1250 0.2500
Y 0.3750 0.4295 0.7500
Zn 0.2500 0.7500 0.5000
Zn 0.5000 0.5000 0.0000
La 0.7500 0.2500 0.5000
La 0.0000 0.0000 0.0000

=====

# 8
## La2YZn2 (PBE)

Data for a relaxed La2YZn2 crystal.

Lattice parameters (Å, degrees): 4.9407 4.9407 7.0504 69.49 69.49 90.00
Atoms (fractional coordinates):
La 0.6215 0.6215 0.7570
La 0.3785 0.3785 0.2430
Zn 0.2500 0.7500 0.5000
Zn 0.7500 0.2500 0.5000
Y 0.0000 0.0000 0.0000

=====

# 9
## La4YZn (PBE)

Data for a relaxed La4YZn crystal.

Lattice parameters (Å, degrees): 3.7315 3.7315 14.1095 90.00 90.00 90.00
Atoms (fractional coordinates):
Zn 0.5000 0.5000 0.5000
La 0.5000 0.5000 0.1804
La 0.0000 0.0000 0.6338
La 0.5000 0.5000 0.8196
La 0.0000 0.0000 0.3662
Y 0.0000 0.0000 0.0000

=====

# 10
## La6YZn2 (PBE)

Data for a relaxed La6YZn2 crystal.

Lattice parameters (Å, degrees): 3.7914 6.8006 11.9354 75.97 80.86 73.81
Atoms (fractional coordinates):
Y 0.0000 0.0000 0.0000
La 0.3115 0.5019 0.8752
La 0.3077 0.7888 0.5958
La 0.6923 0.2112 0.4042
La 0.0284 0.2701 0.6732
La 0.9716 0.7299 0.3268
La 0.6885 0.4981 0.1248
Zn 0.6405 0.9084 0.8106
Zn 0.3595 0.0916 0.1894

=====

no.,total moment (μB/atom),ΔE_f (eV/atom)
1,0.000,0.67
2,0.000,-0.13
3,0.000,-0.08
4,0.582,0.11
5,0.000,-0.31
6,0.000,0.36
7,0.000,0.05
8,0.000,0.12
9,0.000,-0.09
10,0.000,-0.14